The following is a DFT calculation (PBE) of a geometry-optimized Li10PAu6 structure.

Results
E_form: -43 kJ per mole of atoms

Unit cell a=7.8202 b=7.8202 c=5.2330 alpha=90.00 beta=90.00 gamma=120.00
Space group P-31m (No. 162)
Asymmetric unit:
1 Li 0.0000 0.2583 0.2586
2 Li 0.3333 0.6667 0.0000
3 Li 0.3333 0.6667 0.5000
4 P 0.0000 0.0000 0.0000
5 Au 0.0000 0.4045 0.7537

=====

The following is a DFT calculation (PBE) of a geometry-optimized CaHg structure.

Results
E_form: -42 kJ per mole of atoms

Unit cell a=4.305 b=4.305 c=6.485 alpha=90.00 beta=90.00 gamma=90.00
Space group P4/nmm (No. 129, origin choice 2)
Asymmetric unit:
1 Ca 0.250 0.250 0.191
2 Hg 0.250 0.250 0.676

=====

The following is a DFT calculation (PBE) of a geometry-optimized BaH2Cl structure.

Results
ΔE to the lowest computed polymorph: 266 meV per atom

Unit cell a=4.385 b=4.385 c=19.513 alpha=90.00 beta=90.00 gamma=90.00
Space group I4_1/amd (No. 141, origin choice 2)
Asymmetric unit:
1 Ba 0.000 0.250 0.375
2 H 0.000 0.000 0.500
3 Cl 0.000 0.250 0.875

=====

The following is a DFT calculation (PBE) of a geometry-optimized AcLa4Tl structure.

Results
ΔE to the lowest computed polymorph: 0 meV per atom
E_form: -11 kJ per mole of atoms

Unit cell a=6.398 b=7.254 c=9.055 alpha=90.00 beta=91.72 gamma=90.00
Space group P2_1/m (No. 11)
Asymmetric unit:
1 Ac 0.162 0.250 0.172
2 La 0.000 0.000 0.500
3 La 0.341 0.009 0.837
4 La 0.481 0.750 0.485
5 Tl 0.163 0.750 0.159

=====

The following is a DFT calculation (PBE) of a geometry-optimized Ce6NiOs2Br3 structure.

Results
formation energy (no corrections): -0.751 eV per atom

Unit cell a=7.018 b=12.156 c=8.017 alpha=90.00 beta=106.97 gamma=90.00
Space group C2/m (No. 12)
Asymmetric unit:
1 Ce 0.230 0.000 0.196
2 Ce 0.233 0.332 0.196
3 Ni 0.000 0.500 0.000
4 Os 0.000 0.167 0.000
5 Br 0.000 0.000 0.500
6 Br 0.000 0.333 0.500

=====

The following is a DFT calculation (PBE) of a geometry-optimized AcLa4Dy4 structure.

Results
E_form: 4 kJ per mole of atoms

Unit cell a=6.375 b=9.748 c=11.045 alpha=100.66 beta=106.72 gamma=96.37
Space group P-1 (No. 2)
Asymmetric unit:
1 Ac 0.250 0.082 0.302
2 La 0.247 0.745 0.081
3 La 0.250 0.743 0.752
4 La 0.251 0.417 0.530
5 La 0.253 0.087 0.643
6 Dy 0.240 0.743 0.414
7 Dy 0.250 0.421 0.191
8 Dy 0.251 0.416 0.865
9 Dy 0.256 0.085 0.973

=====

The following is a DFT calculation (PBE) of a geometry-optimized Co2Tc structure.

Results
ΔE to the lowest computed polymorph: 62 meV per atom
E_form: 5 kJ per mole of atoms

Unit cell a=2.569 b=3.610 c=7.607 alpha=90.00 beta=90.00 gamma=90.00
Space group Immm (No. 71)
Asymmetric unit:
1 Co 0.000 0.000 0.168
2 Tc 0.000 0.000 0.500

=====

The following is a DFT calculation (PBE) of a geometry-optimized SrCdW2 structure.

Results
E_form: 115 kJ per mole of atoms

Unit cell a=4.082 b=4.082 c=10.215 alpha=90.00 beta=90.00 gamma=90.00
Space group I4/mmm (No. 139)
Asymmetric unit:
1 Sr 0.000 0.000 0.000
2 Cd 0.000 0.000 0.500
3 W 0.000 0.500 0.250